(1)
First-principles (PBE-GGA) data for an optimized crystal structure of CsBaMn2Cl8, as listed in Alexandria.

a = 6.879 Å, b = 6.879 Å, c = 10.421 Å
α = 90.00°, β = 90.00°, γ = 120.00°
Element x y z (fractional)
Cs  0.000  0.000  0.000
Ba  0.000  0.000  0.500
Mn  0.333  0.667  0.760
Mn  0.667  0.333  0.240
Cl  0.013  0.347  0.694
Cl  0.333  0.667  0.973
Cl  0.334  0.987  0.694
Cl  0.347  0.334  0.306
Cl  0.653  0.666  0.694
Cl  0.666  0.013  0.306
Cl  0.667  0.333  0.027
Cl  0.987  0.653  0.306

Computed properties:
VASP energy: -4.515 eV/atom

---

(2)
First-principles (PBE-GGA) data for an optimized crystal structure of CsBa2NCl, as listed in Alexandria.

a = 5.931 Å, b = 5.931 Å, c = 6.170 Å
α = 90.00°, β = 90.00°, γ = 90.00°
Element x y z (fractional)
Cs  0.000  0.000  0.000
Ba  0.000  0.500  0.500
Ba  0.500  0.000  0.500
N  0.500  0.500  0.000
Cl  0.000  0.000  0.500

Computed properties:
VASP energy: -2.707 eV/atom

---

(3)
First-principles (PBE-GGA) data for an optimized crystal structure of CsBaNaCl4, as listed in Alexandria.

a = 7.771 Å, b = 7.379 Å, c = 9.761 Å
α = 90.00°, β = 110.45°, γ = 90.00°
Element x y z (fractional)
Cs  0.215  0.250  0.443
Cs  0.785  0.750  0.557
Ba  0.284  0.250  0.948
Ba  0.716  0.750  0.052
Na  0.262  0.750  0.186
Na  0.738  0.250  0.814
Cl  0.024  0.750  0.918
Cl  0.051  0.750  0.345
Cl  0.486  0.501  0.792
Cl  0.486  0.999  0.792
Cl  0.514  0.001  0.208
Cl  0.514  0.499  0.208
Cl  0.949  0.250  0.655
Cl  0.976  0.250  0.082

Computed properties:
VASP energy: -3.743 eV/atom

---

(4)
First-principles (PBE-GGA) data for an optimized crystal structure of Cs2BaNpCl8, as listed in Alexandria.

a = 5.642 Å, b = 9.824 Å, c = 8.190 Å
α = 90.00°, β = 99.53°, γ = 90.00°
Element x y z (fractional)
Cs  0.000  0.247  0.000
Cs  0.000  0.753  0.000
Ba  0.500  0.500  0.500
Np  0.500  0.000  0.500
Cl  0.003  0.500  0.278
Cl  0.085  0.000  0.311
Cl  0.426  0.207  0.696
Cl  0.426  0.793  0.696
Cl  0.574  0.207  0.304
Cl  0.574  0.793  0.304
Cl  0.915  0.000  0.689
Cl  0.997  0.500  0.722

Computed properties:
VASP energy: -4.580 eV/atom

---

(5)
First-principles (PBE-GGA) data for an optimized crystal structure of Cs2BaOsCl6, as listed in Alexandria.

a = 7.658 Å, b = 7.658 Å, c = 7.658 Å
α = 60.00°, β = 60.00°, γ = 60.00°
Element x y z (fractional)
Cs  0.250  0.250  0.250
Cs  0.750  0.750  0.750
Ba  0.000  0.000  0.000
Os  0.500  0.500  0.500
Cl  0.277  0.277  0.723
Cl  0.277  0.723  0.277
Cl  0.277  0.723  0.723
Cl  0.723  0.277  0.277
Cl  0.723  0.277  0.723
Cl  0.723  0.723  0.277

Computed properties:
VASP energy: -4.046 eV/atom

---

(6)
First-principles (PBE-GGA) data for an optimized crystal structure of CsBaP2Cl, as listed in Alexandria.

a = 5.489 Å, b = 5.489 Å, c = 6.137 Å
α = 90.00°, β = 90.00°, γ = 90.00°
Element x y z (fractional)
Cs  0.000  0.000  0.000
Ba  0.500  0.500  0.500
P  0.000  0.500  0.000
P  0.500  0.000  0.000
Cl  0.000  0.000  0.500

Computed properties:
VASP energy: -2.891 eV/atom

---

(7)
First-principles (PBE-GGA) data for an optimized crystal structure of Cs2BaPbCl6, as listed in Alexandria.

a = 8.076 Å, b = 8.342 Å, c = 14.055 Å
α = 90.00°, β = 124.71°, γ = 90.00°
Element x y z (fractional)
Cs  0.233  0.056  0.250
Cs  0.233  0.444  0.750
Cs  0.767  0.556  0.250
Cs  0.767  0.944  0.750
Ba  0.500  0.000  0.000
Ba  0.500  0.500  0.500
Pb  0.000  0.000  0.500
Pb  0.000  0.500  0.000
Cl  0.148  0.213  0.951
Cl  0.148  0.287  0.451
Cl  0.241  0.701  0.953
Cl  0.241  0.799  0.453
Cl  0.334  0.029  0.743
Cl  0.334  0.471  0.243
Cl  0.666  0.529  0.757
Cl  0.666  0.971  0.257
Cl  0.759  0.201  0.547
Cl  0.759  0.299  0.047
Cl  0.852  0.713  0.549
Cl  0.852  0.787  0.049

Computed properties:
ΔE to the lowest computed polymorph: 0.0 meV/atom
VASP energy: -3.756 eV/atom

---

(8)
First-principles (PBE-GGA) data for an optimized crystal structure of Cs2BaPbCl6, as listed in Alexandria.

a = 8.334 Å, b = 8.334 Å, c = 8.334 Å
α = 60.00°, β = 60.00°, γ = 60.00°
Element x y z (fractional)
Cs  0.250  0.250  0.250
Cs  0.750  0.750  0.750
Ba  0.000  0.000  0.000
Pb  0.500  0.500  0.500
Cl  0.256  0.256  0.744
Cl  0.256  0.744  0.256
Cl  0.256  0.744  0.744
Cl  0.744  0.256  0.256
Cl  0.744  0.256  0.744
Cl  0.744  0.744  0.256

Computed properties:
ΔE to the lowest computed polymorph: 31.4 meV/atom
VASP energy: -3.725 eV/atom

---

(9)
First-principles (PBE-GGA) data for an optimized crystal structure of Cs2BaPdCl6, as listed in Alexandria.

a = 8.428 Å, b = 8.428 Å, c = 8.428 Å
α = 126.87°, β = 126.87°, γ = 78.45°
Element x y z (fractional)
Cs  0.250  0.750  0.500
Cs  0.750  0.250  0.500
Ba  0.000  0.000  0.000
Pd  0.500  0.500  0.000
Cl  0.229  0.229  0.000
Cl  0.282  0.282  0.564
Cl  0.282  0.718  0.000
Cl  0.718  0.282  0.000
Cl  0.718  0.718  0.436
Cl  0.771  0.771  0.000

Computed properties:
VASP energy: -3.629 eV/atom

---

(10)
First-principles (PBE-GGA) data for an optimized crystal structure of CsBaPd2Cl, as listed in Alexandria.

a = 5.460 Å, b = 5.460 Å, c = 12.117 Å
α = 90.00°, β = 90.00°, γ = 90.00°
Element x y z (fractional)
Cs  0.000  0.000  0.000
Ba  0.000  0.000  0.500
Pd  0.000  0.500  0.500
Pd  0.500  0.000  0.500
Cl  0.500  0.500  0.000

Computed properties:
VASP energy: -3.051 eV/atom

---

(11)
First-principles (PBE-GGA) data for an optimized crystal structure of Cs2BaPmCl6, as listed in Alexandria.

a = 7.801 Å, b = 11.603 Å, c = 8.677 Å
α = 90.00°, β = 90.00°, γ = 90.00°
Element x y z (fractional)
Cs  0.250  0.028  0.206
Cs  0.250  0.472  0.206
Cs  0.750  0.528  0.794
Cs  0.750  0.972  0.794
Ba  0.250  0.250  0.722
Ba  0.750  0.750  0.278
Pm  0.250  0.750  0.774
Pm  0.750  0.250  0.226
Cl  0.001  0.250  0.451
Cl  0.009  0.750  0.010
Cl  0.250  0.510  0.779
Cl  0.250  0.990  0.779
Cl  0.491  0.750  0.010
Cl  0.499  0.250  0.451
Cl  0.501  0.750  0.549
Cl  0.509  0.250  0.990
Cl  0.750  0.010  0.221
Cl  0.750  0.490  0.221
Cl  0.991  0.250  0.990
Cl  0.999  0.750  0.549

Computed properties:
VASP energy: -4.027 eV/atom

---

(12)
First-principles (PBE-GGA) data for an optimized crystal structure of CsBaPmCl6, as listed in Alexandria.

a = 7.819 Å, b = 7.819 Å, c = 14.371 Å
α = 90.00°, β = 90.00°, γ = 120.00°
Element x y z (fractional)
Cs  0.000  0.000  0.000
Cs  0.000  0.000  0.500
Ba  0.333  0.667  0.250
Ba  0.667  0.333  0.750
Pm  0.333  0.667  0.750
Pm  0.667  0.333  0.250
Cl  0.034  0.390  0.642
Cl  0.034  0.643  0.858
Cl  0.357  0.390  0.858
Cl  0.357  0.966  0.642
Cl  0.390  0.034  0.142
Cl  0.390  0.357  0.358
Cl  0.610  0.643  0.642
Cl  0.610  0.966  0.858
Cl  0.643  0.034  0.358
Cl  0.643  0.610  0.142
Cl  0.966  0.357  0.142
Cl  0.966  0.610  0.358

Computed properties:
VASP energy: -4.386 eV/atom

---

Q: Which magnetization values were calculated for the entries above? A: 0.750 0.000 0.000 0.250 0.000 0.177 0.000 0.000 0.000 0.000 0.083 0.000, in μB per atom.
Q: Which ρ values were calculated for the entries above? A: 2.58 3.50 2.75 3.43 4.22 3.30 3.51 3.34 3.23 2.38 3.22 2.74, in g cm⁻³.